[1]
! Ce2NdDy6Y3 | Alexandria | GGA-PBE | optimized geometry; values from VASP
! D(E_F) = 1.9179 states/eV/atom
! space group = C2/m
! total magnetic moment = 1.81 Bohr magnetons per cell
! energy of formation = 0.05 eV/atom
&SYSTEM
  ibrav = 0, nat = 12, ntyp = 4
/
ATOMIC_SPECIES
Ce 140.12 Ce.upf
Nd 144.24 Nd.upf
Dy 162.50 Dy.upf
Y 88.91 Y.upf
ATOMIC_POSITIONS angstrom
Ce 3.0814 3.5580 0.0000
Ce 3.0814 -3.5580 0.0000
Nd 3.0814 0.0000 0.0000
Dy -0.0143 1.7952 8.7126
Dy 1.0118 0.0000 2.8931
Dy -0.0143 -1.7952 8.7126
Dy 4.1210 1.7952 2.8933
Dy 3.0949 0.0000 8.7128
Dy 4.1210 -1.7952 2.8933
Y -1.0281 0.0000 5.8029
Y 2.0533 1.7756 5.8029
Y 2.0533 -1.7756 5.8029
CELL_PARAMETERS angstrom
3.0814 -5.3375 0.0000
3.0814 5.3375 0.0000
-2.0561 0.0000 11.6059

[2]
! Li5TmHg6 | Alexandria | GGA-PBE | optimized geometry; values from VASP
! D(E_F) = 0.3921 states/eV/atom
! space group = P2/m
! total magnetic moment = 0.00 Bohr magnetons per cell
! energy of formation = -0.38 eV/atom
&SYSTEM
  ibrav = 0, nat = 12, ntyp = 3
/
ATOMIC_SPECIES
Li 6.94 Li.upf
Tm 168.93 Tm.upf
Hg 200.59 Hg.upf
ATOMIC_POSITIONS angstrom
Li 0.0000 0.0000 0.0000
Li 0.0255 3.4098 4.7586
Li 0.0143 0.0000 4.8866
Li 2.4226 0.0000 2.3304
Li 2.4114 3.4098 2.4584
Tm 0.0000 3.4098 0.0000
Hg 0.0038 1.6098 2.4801
Hg 0.0038 5.2099 2.4801
Hg 2.4152 1.5800 0.0000
Hg 2.4152 5.2396 0.0000
Hg 2.4332 1.6098 4.7369
Hg 2.4332 5.2099 4.7369
CELL_PARAMETERS angstrom
4.8304 0.0000 0.0000
0.0000 6.8196 0.0000
-2.3935 0.0000 7.2170

[3]
! ScUSi | Alexandria | GGA-PBE | optimized geometry; values from VASP
! uncorrected formation energy = -0.20 eV/atom
! D(E_F) = 1.1775 states/eV/atom
! space group = I4/mmm
! total magnetic moment = 0.00 Bohr magnetons per cell
&SYSTEM
  ibrav = 0, nat = 12, ntyp = 3
/
ATOMIC_SPECIES
Sc 44.96 Sc.upf
U 238.03 U.upf
Si 28.09 Si.upf
ATOMIC_POSITIONS angstrom
Sc 0.0000 0.0000 1.6316
Sc 0.0000 0.0000 19.9194
Sc 1.7253 1.7253 9.1439
Sc 1.7253 1.7253 12.4070
U 0.0000 0.0000 4.8491
U 0.0000 0.0000 16.7018
U 1.7253 1.7253 5.9263
U 1.7253 1.7253 15.6246
Si 0.0000 0.0000 7.6754
Si 0.0000 0.0000 13.8755
Si 1.7253 1.7253 3.1001
Si 1.7253 1.7253 18.4509
CELL_PARAMETERS angstrom
3.4507 0.0000 0.0000
0.0000 3.4507 0.0000
0.0000 0.0000 21.5509

[4]
! KCuSbBr5 | Alexandria | GGA-PBE | optimized geometry; values from VASP
! uncorrected formation energy = -0.81 eV/atom
! space group = C2/c
! total magnetic moment = 0.04 Bohr magnetons per cell
&SYSTEM
  ibrav = 0, nat = 16, ntyp = 4
/
ATOMIC_SPECIES
K 39.10 K.upf
Cu 63.55 Cu.upf
Sb 121.76 Sb.upf
Br 79.90 Br.upf
ATOMIC_POSITIONS angstrom
K 1.4600 4.4005 7.2516
K 3.5723 -4.4005 2.4172
Cu 3.5723 3.8117 2.4172
Cu 1.4600 -3.8117 7.2516
Sb 4.6284 0.0000 0.0000
Sb 2.5162 0.0000 4.8344
Br -2.2167 0.8746 8.9676
Br 1.9446 2.5813 3.7515
Br -0.1044 -0.8746 4.1332
Br 5.1999 2.5813 1.0829
Br 1.4600 1.0427 7.2516
Br 3.5723 -1.0427 2.4172
Br -0.1676 -2.5813 8.5859
Br 5.1367 0.8746 5.5356
Br 3.0877 -2.5813 5.9172
Br 7.2490 -0.8746 0.7012
CELL_PARAMETERS angstrom
4.6284 -6.2159 0.0000
4.6284 6.2159 0.0000
-4.2246 0.0000 9.6688

[5]
! AgGe2Pb2 | Alexandria | GGA-PBE | optimized geometry; values from VASP
! excess energy over the best structure of this formula in the dataset = 50.5 meV per atom
! D(E_F) = 0.5087 states/eV/atom
! space group = I4/mmm
! total magnetic moment = 0.00 Bohr magnetons per cell
! energy of formation = 0.20 eV/atom
&SYSTEM
  ibrav = 0, nat = 10, ntyp = 3
/
ATOMIC_SPECIES
Ag 107.87 Ag.upf
Ge 72.64 Ge.upf
Pb 207.20 Pb.upf
ATOMIC_POSITIONS angstrom
Ag 0.0000 0.0000 0.0000
Ag 1.8585 1.8585 9.0532
Ge 0.0000 1.8585 4.5266
Ge 0.0000 1.8585 13.5798
Ge 1.8585 0.0000 4.5266
Ge 1.8585 0.0000 13.5798
Pb 0.0000 0.0000 7.2325
Pb 0.0000 0.0000 10.8738
Pb 1.8585 1.8585 1.8206
Pb 1.8585 1.8585 16.2857
CELL_PARAMETERS angstrom
3.7169 0.0000 0.0000
0.0000 3.7169 0.0000
0.0000 0.0000 18.1063

[6]
! Ta2AgMo | Alexandria | GGA-PBE | optimized geometry; values from VASP
! excess energy over the best structure of this formula in the dataset = 158.2 meV per atom
! D(E_F) = 0.7847 states/eV/atom
! space group = Pm
! total magnetic moment = 0.00 Bohr magnetons per cell
! energy of formation = 0.25 eV/atom
&SYSTEM
  ibrav = 0, nat = 4, ntyp = 3
/
ATOMIC_SPECIES
Ta 180.95 Ta.upf
Ag 107.87 Ag.upf
Mo 95.94 Mo.upf
ATOMIC_POSITIONS angstrom
Ta 0.0000 0.0000 0.0000
Ta 0.0777 2.3606 3.9886
Ag 1.8097 2.3606 1.3351
Mo 0.9411 0.0000 2.8215
CELL_PARAMETERS angstrom
2.7578 0.0000 0.0000
0.0000 4.7212 0.0000
-0.8822 0.0000 5.3662

[7]
! Na3HF6 | Alexandria | GGA-PBE | optimized geometry; values from VASP
! electronic total energy = -3.76 eV/atom
! D(E_F) = 0.4410 states/eV/atom
! space group = Cmc2_1
! total magnetic moment = 2.02 Bohr magnetons per cell
&SYSTEM
  ibrav = 0, nat = 20, ntyp = 3
/
ATOMIC_SPECIES
Na 22.99 Na.upf
H 1.01 H.upf
F 19.00 F.upf
ATOMIC_POSITIONS angstrom
Na 4.6493 4.8341 2.2028
Na 2.9591 1.4814 1.9751
Na 2.9591 -1.4814 4.1779
Na 6.3395 1.4814 1.9751
Na 6.3395 -1.4814 4.1779
Na 4.6493 -4.8341 0.0000
H 4.6493 2.9369 0.0565
H 4.6493 -2.9369 2.2592
F 3.3949 3.2763 3.3580
F 1.5354 0.0785 3.1961
F 1.5354 -0.0785 0.9933
F 4.6493 2.7875 1.0302
F 5.9038 3.2763 3.3580
F 4.6493 0.0503 3.0182
F 4.6493 -0.0503 0.8155
F 3.3949 -3.2763 1.1552
F 4.6493 -2.7875 3.2329
F 7.7632 0.0785 3.1961
F 7.7632 -0.0785 0.9933
F 5.9038 -3.2763 1.1552
CELL_PARAMETERS angstrom
4.6493 -6.2199 0.0000
4.6493 6.2199 0.0000
0.0000 0.0000 4.4055

[8]
! Pr2PaGa | Alexandria | GGA-PBE | optimized geometry; values from VASP
! D(E_F) = 1.1308 states/eV/atom
! space group = R-3m
! total magnetic moment = 0.00 Bohr magnetons per cell
! energy of formation = 0.18 eV/atom
&SYSTEM
  ibrav = 0, nat = 12, ntyp = 3
/
ATOMIC_SPECIES
Pr 140.91 Pr.upf
Pa 231.04 Pa.upf
Ga 69.72 Ga.upf
ATOMIC_POSITIONS angstrom
Pr 0.0000 0.0000 3.3115
Pr 0.0000 0.0000 31.5203
Pr 0.0000 1.9341 19.9097
Pr 0.0000 1.9341 26.5327
Pr 1.6750 0.9671 8.2991
Pr 1.6750 0.9671 14.9221
Pa 0.0000 0.0000 0.0000
Pa 0.0000 1.9341 23.2212
Pa 1.6750 0.9671 11.6106
Ga 0.0000 0.0000 17.4159
Ga 0.0000 1.9341 5.8053
Ga 1.6750 0.9671 29.0265
CELL_PARAMETERS angstrom
3.3500 0.0000 0.0000
-1.6750 2.9012 0.0000
0.0000 0.0000 34.8318

[9]
! Pr2GaPd | Alexandria | GGA-PBE | optimized geometry; values from VASP
! D(E_F) = 1.1267 states/eV/atom
! space group = Amm2
! total magnetic moment = 0.00 Bohr magnetons per cell
! energy of formation = -0.65 eV/atom
&SYSTEM
  ibrav = 0, nat = 8, ntyp = 3
/
ATOMIC_SPECIES
Pr 140.91 Pr.upf
Ga 69.72 Ga.upf
Pd 106.42 Pd.upf
ATOMIC_POSITIONS angstrom
Pr 0.0000 0.0000 0.0000
Pr 0.0000 2.1272 5.4995
Pr 2.2219 0.0000 3.1051
Pr 2.2219 2.1272 8.6046
Ga 2.2219 0.0000 6.2495
Ga 2.2219 2.1272 0.7500
Pd 0.0000 0.0000 7.8683
Pd 0.0000 2.1272 2.3688
CELL_PARAMETERS angstrom
4.4438 0.0000 0.0000
0.0000 4.2545 0.0000
0.0000 0.0000 10.9990

[10]
! CeErSbAs | Alexandria | GGA-PBE | optimized geometry; values from VASP
! uncorrected formation energy = -1.25 eV/atom
! D(E_F) = 1.5239 states/eV/atom
! space group = R3m
! total magnetic moment = 2.17 Bohr magnetons per cell
&SYSTEM
  ibrav = 0, nat = 12, ntyp = 4
/
ATOMIC_SPECIES
Ce 140.12 Ce.upf
Er 167.26 Er.upf
Sb 121.76 Sb.upf
As 74.92 As.upf
ATOMIC_POSITIONS angstrom
Ce 0.0000 0.0000 0.0000
Ce 0.0000 2.4678 14.0755
Ce 2.1372 1.2339 7.0377
Er 0.0000 0.0000 10.8058
Er 0.0000 2.4678 3.7681
Er 2.1372 1.2339 17.8435
Sb 0.0000 0.0000 16.0139
Sb 0.0000 2.4678 8.9762
Sb 2.1372 1.2339 1.9385
As 0.0000 0.0000 5.3496
As 0.0000 2.4678 19.4251
As 2.1372 1.2339 12.3873
CELL_PARAMETERS angstrom
4.2744 0.0000 0.0000
-2.1372 3.7017 0.0000
0.0000 0.0000 21.1132

[11]
! BaLaIn2Ir | Alexandria | GGA-PBE | optimized geometry; values from VASP
! D(E_F) = 0.5055 states/eV/atom
! space group = P4/mmm
! total magnetic moment = 0.00 Bohr magnetons per cell
! energy of formation = -0.39 eV/atom
&SYSTEM
  ibrav = 0, nat = 5, ntyp = 4
/
ATOMIC_SPECIES
Ba 137.33 Ba.upf
La 138.91 La.upf
In 114.82 In.upf
Ir 192.22 Ir.upf
ATOMIC_POSITIONS angstrom
Ba 0.0000 0.0000 0.0000
La 2.6970 2.6970 0.0000
In 0.0000 2.6970 2.6913
In 2.6970 0.0000 2.6913
Ir 2.6970 2.6970 2.6913
CELL_PARAMETERS angstrom
5.3941 0.0000 0.0000
0.0000 5.3941 0.0000
0.0000 0.0000 5.3827

[12]
! Ho5TlTc | Alexandria | GGA-PBE | optimized geometry; values from VASP
! D(E_F) = 0.9524 states/eV/atom
! space group = C2/c
! total magnetic moment = 0.00 Bohr magnetons per cell
! energy of formation = -0.01 eV/atom
&SYSTEM
  ibrav = 0, nat = 14, ntyp = 3
/
ATOMIC_SPECIES
Ho 164.93 Ho.upf
Tl 204.38 Tl.upf
Tc 98.00 Tc.upf
ATOMIC_POSITIONS angstrom
Ho 2.1243 3.6551 8.4887
Ho 0.1966 1.2442 7.0756
Ho 0.3311 1.2582 10.6143
Ho 1.8812 -1.2442 1.4164
Ho 3.9176 1.2582 6.3632
Ho 2.0156 -1.2582 4.9551
Ho 4.0520 1.2442 9.9019
Ho 5.6021 -1.2582 0.7040
Ho 5.7366 -1.2442 4.2427
Ho 3.8089 -3.6551 2.8296
Tl 3.8089 0.7029 2.8296
Tl 2.1243 -0.7029 8.4887
Tc 0.0000 0.0000 0.0000
Tc -1.6845 0.0000 5.6592
CELL_PARAMETERS angstrom
4.6511 -3.7109 0.0000
4.6511 3.7109 0.0000
-3.3690 0.0000 11.3183

Q: Which value of total magnetic moment does entry 4 give?
A: 0.04 Bohr magnetons per cell